# 1
Entry from Alexandria: a relaxed structure of CsNaBiRh2 (PBE-GGA).

Crystal system: tetragonal
Space group: P4/mmm
ΔH_f (0 K) (meV per atom): 475
D(E_F) (states/eV per atom): 0.60

Cell: 5.176 5.176 5.849 Å, 90.00 90.00 90.00°
Fractional positions:
Cs  0.000  0.000  0.000
Na  0.500  0.500  0.000
Bi  0.500  0.500  0.500
Rh  0.000  0.500  0.500
Rh  0.500  0.000  0.500

# 2
Entry from Alexandria: a relaxed structure of PrTh2Ti (PBE-GGA).

Crystal system: trigonal
Space group: R-3m
ΔH_f (0 K) (meV per atom): 358
D(E_F) (states/eV per atom): 1.78

Cell: 12.003 12.003 12.003 Å, 16.25 16.25 16.25°
Fractional positions:
Pr  0.000  0.000  0.000
Th  0.094  0.094  0.094
Th  0.906  0.906  0.906
Ti  0.500  0.500  0.500

# 3
Entry from Alexandria: a relaxed structure of Ga2Se2Cl7 (PBE-GGA).

Crystal system: monoclinic
Space group: C2/m
Raw formation energy (eV/atom): -0.49

Cell: 7.727 7.727 7.231 Å, 95.41 95.41 87.82°
Fractional positions:
Ga  0.144  0.144  0.269
Ga  0.856  0.856  0.731
Se  0.111  0.889  0.500
Se  0.889  0.111  0.500
Cl  0.000  0.000  0.000
Cl  0.082  0.418  0.258
Cl  0.418  0.082  0.258
Cl  0.446  0.446  0.879
Cl  0.554  0.554  0.121
Cl  0.582  0.918  0.742
Cl  0.918  0.582  0.742

# 4
Entry from Alexandria: a relaxed structure of LiCo2BAsAu (PBE-GGA).

Crystal system: monoclinic
Space group: Pm
ΔH_f (0 K) (meV per atom): -212
D(E_F) (states/eV per atom): 0.32

Cell: 3.518 3.670 6.763 Å, 90.00 105.15 90.00°
Fractional positions:
Li  0.000  0.000  0.000
Co  0.347  0.000  0.695
Co  0.843  0.500  0.686
B  0.413  0.500  0.826
As  0.735  0.000  0.472
Au  0.580  0.500  0.159

# 5
Entry from Alexandria: a relaxed structure of NaMnGe (PBE-GGA).

Crystal system: tetragonal
Space group: P4/nmm
ΔH_f (0 K) (meV per atom): -48
D(E_F) (states/eV per atom): 0.41

Cell: 4.069 4.069 6.982 Å, 90.00 90.00 90.00°
Fractional positions:
Na  0.250  0.250  0.149
Na  0.750  0.750  0.851
Mn  0.250  0.750  0.500
Mn  0.750  0.250  0.500
Ge  0.250  0.250  0.694
Ge  0.750  0.750  0.306

# 6
Entry from Alexandria: a relaxed structure of PmAlH2O4 (PBE-GGA).

Crystal system: orthorhombic
Space group: I222
D(E_F) (states/eV per atom): 0.00

Cell: 4.734 4.734 4.734 Å, 123.60 107.55 98.34°
Fractional positions:
Pm  0.000  0.000  0.000
Al  0.500  0.500  0.000
H  0.327  0.827  0.500
H  0.673  0.173  0.500
O  0.191  0.048  0.595
O  0.453  0.596  0.405
O  0.547  0.952  0.143
O  0.809  0.404  0.857

# 7
Entry from Alexandria: a relaxed structure of Sr2LiTbSe4 (PBE-GGA).

Crystal system: monoclinic
Space group: P2/m
Raw formation energy (eV/atom): -1.83

Cell: 7.352 4.283 7.357 Å, 90.00 108.84 90.00°
Fractional positions:
Sr  0.000  0.000  0.000
Sr  0.500  0.500  0.000
Li  0.000  0.500  0.500
Tb  0.500  0.000  0.500
Se  0.249  0.000  0.730
Se  0.258  0.500  0.274
Se  0.742  0.500  0.726
Se  0.751  0.000  0.270

# 8
Entry from Alexandria: a relaxed structure of Er5GaFe2 (PBE-GGA).

Crystal system: tetragonal
Space group: I4/mcm
ΔH_f (0 K) (meV per atom): -190
D(E_F) (states/eV per atom): 0.86

Cell: 8.679 8.679 8.679 Å, 130.68 130.68 72.32°
Fractional positions:
Er  0.000  0.000  0.000
Er  0.040  0.540  0.853
Er  0.186  0.040  0.500
Er  0.314  0.814  0.853
Er  0.460  0.314  0.500
Er  0.500  0.500  0.000
Er  0.540  0.686  0.500
Er  0.686  0.186  0.147
Er  0.814  0.960  0.500
Er  0.960  0.460  0.147
Ga  0.250  0.250  0.000
Ga  0.750  0.750  0.000
Fe  0.107  0.393  0.500
Fe  0.393  0.893  0.286
Fe  0.607  0.107  0.714
Fe  0.893  0.607  0.500

# 9
Entry from Alexandria: a relaxed structure of LiAg (PBE-GGA).

Crystal system: cubic
Space group: P2_13
ΔH_f (0 K) (meV per atom): -167
D(E_F) (states/eV per atom): 0.47

Cell: 5.082 5.082 5.082 Å, 90.00 90.00 90.00°
Fractional positions:
Li  0.093  0.093  0.093
Li  0.407  0.907  0.593
Li  0.593  0.407  0.907
Li  0.907  0.593  0.407
Ag  0.102  0.602  0.898
Ag  0.398  0.398  0.398
Ag  0.602  0.898  0.102
Ag  0.898  0.102  0.602

# 10
Entry from Alexandria: a relaxed structure of ReSb3 (PBE-GGA).

Crystal system: trigonal
Space group: R-3m
Raw formation energy (eV/atom): 0.96
D(E_F) (states/eV per atom): 0.79

Cell: 5.870 5.870 5.870 Å, 116.94 116.94 116.94°
Fractional positions:
Re  0.000  0.000  0.000
Sb  0.000  0.500  0.500
Sb  0.500  0.000  0.500
Sb  0.500  0.500  0.000

# 11
Entry from Alexandria: a relaxed structure of Li2Hg3Pd4 (PBE-GGA).

Crystal system: monoclinic
Space group: C2/m
ΔH_f (0 K) (meV per atom): -310
D(E_F) (states/eV per atom): 0.32

Cell: 5.007 5.007 8.590 Å, 107.49 107.49 48.30°
Fractional positions:
Li  0.167  0.167  0.213
Li  0.833  0.833  0.787
Hg  0.169  0.169  0.569
Hg  0.500  0.500  0.000
Hg  0.831  0.831  0.431
Pd  0.166  0.166  0.894
Pd  0.498  0.498  0.669
Pd  0.502  0.502  0.331
Pd  0.834  0.834  0.106

# 12
Entry from Alexandria: a relaxed structure of Y2Si2Ag (PBE-GGA).

Crystal system: tetragonal
Space group: P4/mbm
Raw formation energy (eV/atom): -0.68
D(E_F) (states/eV per atom): 0.48

Cell: 7.030 7.030 4.249 Å, 90.00 90.00 90.00°
Fractional positions:
Y  0.177  0.323  0.000
Y  0.323  0.823  0.000
Y  0.677  0.177  0.000
Y  0.823  0.677  0.000
Si  0.120  0.620  0.500
Si  0.380  0.120  0.500
Si  0.620  0.880  0.500
Si  0.880  0.380  0.500
Ag  0.000  0.000  0.500
Ag  0.500  0.500  0.500

Listing raw total energy for the structures above in their given order: -3.676, -6.521, -2.844, -5.334, -5.083, -6.631, -4.813, -5.535, -2.549, -5.240, -3.144, -6.005 eV per atom.
Listing mass density for the structures above in their given order: 6.05, 9.18, 2.12, 8.03, 4.33, 5.10, 4.98, 9.20, 5.81, 10.17, 11.39, 5.41 g cm⁻³.